DFT (SCAN) results for Al2NiBr at its PBEsol-relaxed geometry.

Unit cell a=3.702 b=3.702 c=4.985 alpha=90.00 beta=90.00 gamma=90.00
Element x y z (fractional)
Al 0.000 0.500 0.000
Al 0.500 0.000 0.000
Ni 0.000 0.000 0.500
Br 0.500 0.500 0.500

Formation energy (no corrections)   2.20 eV per formula unit
Relative energy among the computed polymorphs   30 meV/atom
Space-group type   No. 123

=====

DFT (SCAN) results for BaTc2 at its PBEsol-relaxed geometry.

Unit cell a=4.936 b=4.936 c=5.498 alpha=90.00 beta=90.00 gamma=120.00
Element x y z (fractional)
Ba 0.333 0.667 0.250
Ba 0.667 0.333 0.750
Tc 0.000 0.000 0.000
Tc 0.000 0.000 0.500
Tc 0.333 0.667 0.750
Tc 0.667 0.333 0.250

Relative energy among the computed polymorphs   848 meV/atom
Space-group type   No. 194

=====

DFT (SCAN) results for ScCrOs at its PBEsol-relaxed geometry.

Unit cell a=5.038 b=5.038 c=5.038 alpha=122.11 beta=116.40 gamma=91.37
Element x y z (fractional)
Sc 0.375 0.125 0.250
Sc 0.625 0.875 0.750
Cr 0.000 0.000 0.500
Cr 0.000 0.500 0.000
Os 0.000 0.500 0.500
Os 0.500 0.500 0.000

Relative energy among the computed polymorphs   0 meV/atom
Space-group type   No. 74

=====

DFT (SCAN) results for YTcTe2 at its PBEsol-relaxed geometry.

Unit cell a=5.016 b=5.016 c=5.016 alpha=60.00 beta=60.00 gamma=60.00
Element x y z (fractional)
Y 0.000 0.000 0.000
Tc 0.250 0.250 0.250
Te 0.500 0.500 0.500
Te 0.750 0.750 0.750

Formation energy (no corrections)   0.81 eV per formula unit
Relative energy among the computed polymorphs   664 meV/atom
Space-group type   No. 216

=====

DFT (SCAN) results for B3SbPb at its PBEsol-relaxed geometry.

Unit cell a=4.510 b=4.510 c=4.510 alpha=90.00 beta=90.00 gamma=90.00
Element x y z (fractional)
B 0.000 0.000 0.500
B 0.000 0.500 0.000
B 0.500 0.000 0.000
Sb 0.000 0.000 0.000
Pb 0.500 0.500 0.500

Formation energy (no corrections)   10.18 eV per formula unit
Space-group type   No. 221

=====

DFT (SCAN) results for Fe2AuCl at its PBEsol-relaxed geometry.

Unit cell a=2.808 b=2.808 c=8.379 alpha=90.00 beta=90.00 gamma=112.79
Element x y z (fractional)
Fe 0.000 0.000 0.000
Fe 0.500 0.500 0.207
Au 0.500 0.500 0.750
Cl 0.000 0.000 0.415

Formation energy (no corrections)   0.22 eV per formula unit
Relative energy among the computed polymorphs   182 meV/atom
Space-group type   No. 35